No. 1
Density functional theory data (GGA-PBE) for PrErSeO2 after structural relaxation.

## Properties
Energy relative to the elements, uncorrected: -70.2 kcal/mol of atoms
Total DFT energy (no corrections): -75.91 eV per cell
Total moment: 0.00 μB per cell

Cell: 6.6528 4.0988 7.7537 Å, 90.00 108.67 90.00°
Element x y z (fractional)
Pr 0.1919 0.2500 0.4296
Pr 0.8081 0.7500 0.5704
Er 0.1686 0.2500 0.9217
Er 0.8314 0.7500 0.0783
Se 0.4546 0.7500 0.7494
Se 0.5454 0.2500 0.2506
O 0.0145 0.7500 0.3686
O 0.0193 0.7500 0.8906
O 0.9807 0.2500 0.1094
O 0.9855 0.2500 0.6314



No. 2
Density functional theory data (GGA-PBE) for Pr2SmErO6 after structural relaxation.

## Properties
Energy relative to the elements, uncorrected: -77.9 kcal/mol of atoms
Total DFT energy (no corrections): -82.38 eV per cell
Total moment: 0.00 μB per cell

Cell: 6.2078 6.2078 6.2078 Å, 58.00 58.00 58.00°
Element x y z (fractional)
Pr 0.0000 0.0000 0.0000
Pr 0.4983 0.4983 0.4983
Sm 0.2225 0.2225 0.2225
Er 0.7189 0.7189 0.7189
O 0.0878 0.4229 0.8357
O 0.3426 0.9105 0.5997
O 0.4229 0.8357 0.0878
O 0.5997 0.3426 0.9105
O 0.8357 0.0878 0.4229
O 0.9105 0.5997 0.3426



No. 3
Density functional theory data (GGA-PBE) for Pr4Er2Sn3O2 after structural relaxation.

## Properties
Energy relative to the elements, uncorrected: -32.9 kcal/mol of atoms
Total DFT energy (no corrections): -65.87 eV per cell
Total moment: 0.00 μB per cell

Cell: 13.1724 13.1724 13.1724 Å, 158.84 158.84 30.11°
Element x y z (fractional)
Pr 0.0846 0.5846 0.5000
Pr 0.4154 0.9154 0.5000
Pr 0.5846 0.0846 0.5000
Pr 0.9154 0.4154 0.5000
Er 0.1949 0.1949 0.0000
Er 0.8051 0.8051 0.0000
Sn 0.3189 0.3189 0.0000
Sn 0.5000 0.5000 0.0000
Sn 0.6811 0.6811 0.0000
O 0.1085 0.1085 0.0000
O 0.8915 0.8915 0.0000